# 1
CoNiC: relaxed, PBE.

Geometry as extended XYZ:
```
9
Lattice="2.9292 0.0000 0.0000 -1.4646 2.5368 0.0000 0.0000 0.0000 11.4293" Properties=species:S:1:pos:R:3 pbc="T T T"
Co 0.0000 0.0000 0.0000
Co 0.0000 1.6912 7.6196
Co 1.4646 0.8456 3.8098
Ni 0.0000 0.0000 5.7857
Ni 0.0000 1.6912 1.9759
Ni 1.4646 0.8456 9.5954
C 0.0000 0.0000 3.0226
C 0.0000 1.6912 10.6421
C 1.4646 0.8456 6.8323
```

* symmetry: R3m, No. 160
* excess energy over the best structure of this formula in the dataset: 0.0 kJ per mole of atoms

# 2
NaCd2Bi: relaxed, PBE.

Geometry as extended XYZ:
```
4
Lattice="4.6618 0.0000 0.0000 0.0000 4.6618 0.0000 0.0000 0.0000 4.7440" Properties=species:S:1:pos:R:3 pbc="T T T"
Na 0.0000 0.0000 0.0000
Cd 0.0000 2.3309 2.3720
Cd 2.3309 0.0000 2.3720
Bi 2.3309 2.3309 0.0000
```

* symmetry: P4/mmm, No. 123

Calculated total magnetization, 0.0, 0.0 μB/cell (same order as the records).
Calculated total energy, -7.1378, -1.8602 eV per atom (same order as the records).